Here is an optimized crystal structure of AlPS from the Alexandria database. Energies are from PBE.

Cell: 6.013 3.473 14.673 Å, 90.00 98.69 90.00°
Space group C2/m (No. 12)
Unique sites:
Al 0.034 0.000 0.090 [4 per cell]
P 0.152 0.000 0.459 [4 per cell]
S 0.105 0.500 0.833 [4 per cell]


Here is an optimized crystal structure of AlPS2 from the Alexandria database. Energies are from PBE.

Cell: 6.472 6.472 6.916 Å, 90.00 90.00 90.00°
Space group I-42d (No. 122)
Unique sites:
Al 0.000 0.000 0.000 [4 per cell]
P 0.000 0.000 0.500 [4 per cell]
S 0.226 0.250 0.125 [8 per cell]

Summary:
N(E_F) = 3.38 states/eV/cell


Here is an optimized crystal structure of AlP2S from the Alexandria database. Energies are from PBE.

Cell: 5.062 5.062 12.763 Å, 90.00 90.00 90.00°
Space group I-42d (No. 122)
Unique sites:
Al 0.000 0.000 0.000 [4 per cell]
P 0.239 0.250 0.625 [8 per cell]
S 0.000 0.000 0.500 [4 per cell]

Summary:
N(E_F) = 3.89 states/eV/cell


Here is an optimized crystal structure of AlP3S from the Alexandria database. Energies are from PBE.

Cell: 4.602 4.602 4.602 Å, 90.00 90.00 90.00°
Space group Pm-3m (No. 221)
Unique sites:
Al 0.000 0.000 0.000 [1 per cell]
P 0.000 0.000 0.500 [3 per cell]
S 0.500 0.500 0.500 [1 per cell]

Summary:
N(E_F) = 5.49 states/eV/cell


Here is an optimized crystal structure of Al3PS from the Alexandria database. Energies are from PBE.

Cell: 4.748 4.748 4.748 Å, 90.00 90.00 90.00°
Space group Pm-3m (No. 221)
Unique sites:
Al 0.000 0.000 0.500 [3 per cell]
P 0.000 0.000 0.000 [1 per cell]
S 0.500 0.500 0.500 [1 per cell]

Summary:
N(E_F) = 2.28 states/eV/cell


Here is an optimized crystal structure of AlP2S6 from the Alexandria database. Energies are from PBE.

Cell: 5.930 10.269 7.393 Å, 90.00 105.52 90.00°
Space group C2 (No. 5)
Unique sites:
Al 0.000 0.000 0.000 [2 per cell]
P 0.053 0.667 0.158 [4 per cell]
S 0.221 0.840 0.226 [4 per cell]
S 0.237 0.008 0.774 [4 per cell]
S 0.245 0.153 0.227 [4 per cell]

Summary:
N(E_F) = 16.68 states/eV/cell


Here is an optimized crystal structure of AlP2S from the Alexandria database. Energies are from PBE.

Cell: 6.254 6.254 6.254 Å, 90.00 90.00 90.00°
Space group Fm-3m (No. 225)
Unique sites:
Al 0.000 0.000 0.000 [4 per cell]
P 0.250 0.250 0.250 [8 per cell]
S 0.000 0.000 0.500 [4 per cell]

Summary:
N(E_F) = 13.15 states/eV/cell


Here is an optimized crystal structure of AlPS2 from the Alexandria database. Energies are from PBE.

Cell: 3.4106 3.4106 22.4488 Å, 90.00 90.00 120.00°
Space group R-3m (No. 166, hexagonal axes)
Unique sites:
Al 0.0000 0.0000 0.0000 [3 per cell]
P 0.0000 0.0000 0.5000 [3 per cell]
S 0.0000 0.0000 0.3936 [6 per cell]

Summary:
N(E_F) = 2.46 states/eV/cell


Here is an optimized crystal structure of AlP2S6 from the Alexandria database. Energies are from PBE.

Cell: 5.9276 5.9276 21.5415 Å, 90.00 90.00 120.00°
Space group R3 (No. 146, hexagonal axes)
Unique sites:
Al 0.0000 0.0000 0.0000 [3 per cell]
P 0.0000 0.0000 0.6145 [3 per cell]
P 0.0000 0.0000 0.7188 [3 per cell]
S 0.0276 0.3457 0.5919 [9 per cell]
S 0.0281 0.6823 0.7415 [9 per cell]

Summary:
N(E_F) = 25.38 states/eV/cell


Here is an optimized crystal structure of AlPS2 from the Alexandria database. Energies are from PBE.

Cell: 6.244 6.244 6.244 Å, 90.00 90.00 90.00°
Space group Fm-3m (No. 225)
Unique sites:
Al 0.000 0.000 0.000 [4 per cell]
P 0.000 0.000 0.500 [4 per cell]
S 0.250 0.250 0.250 [8 per cell]

Summary:
N(E_F) = 6.71 states/eV/cell


Here is an optimized crystal structure of AlP3S from the Alexandria database. Energies are from PBE.

Cell: 4.490 4.490 4.490 Å, 90.00 90.00 90.00°
Space group Pm-3m (No. 221)
Unique sites:
Al 0.000 0.000 0.000 [1 per cell]
P 0.000 0.500 0.500 [3 per cell]
S 0.500 0.500 0.500 [1 per cell]

Summary:
N(E_F) = 2.86 states/eV/cell


Here is an optimized crystal structure of AlSbPS2 from the Alexandria database. Energies are from PBE.

Cell: 4.627 4.627 4.692 Å, 90.00 90.00 90.00°
Space group P4/mmm (No. 123)
Unique sites:
Al 0.000 0.000 0.000 [1 per cell]
Sb 0.500 0.500 0.500 [1 per cell]
P 0.000 0.000 0.500 [1 per cell]
S 0.000 0.500 0.000 [2 per cell]

Summary:
N(E_F) = 2.21 states/eV/cell


Number 1: total magnetization 0.0000 μB/atom, ΔE_f (raw) -526 meV/atom, raw total energy -4.95 eV/atom. Number 2: total magnetization 0.0000 μB/atom, ΔE_f (raw) -16 meV/atom, raw total energy -4.37 eV/atom. Number 3: total magnetization 0.0000 μB/atom, ΔE_f (raw) 223 meV/atom, raw total energy -4.45 eV/atom. Number 4: total magnetization 0.0000 μB/atom, ΔE_f (raw) 986 meV/atom, raw total energy -3.83 eV/atom. Number 5: total magnetization 0.0000 μB/atom, ΔE_f (raw) 417 meV/atom, raw total energy -3.74 eV/atom. Number 6: total magnetization 0.0015 μB/atom, ΔE_f (raw) -346 meV/atom, raw total energy -4.72 eV/atom. Number 7: total magnetization 0.0000 μB/atom, ΔE_f (raw) 581 meV/atom, raw total energy -4.09 eV/atom. Number 8: total magnetization 0.0000 μB/atom, ΔE_f (raw) -320 meV/atom, raw total energy -4.67 eV/atom. Number 9: total magnetization 0.0001 μB/atom, ΔE_f (raw) -346 meV/atom, raw total energy -4.72 eV/atom. Number 10: total magnetization 0.0000 μB/atom, ΔE_f (raw) 327 meV/atom, raw total energy -4.02 eV/atom. Number 11: total magnetization 0.0000 μB/atom, ΔE_f (raw) 882 meV/atom, raw total energy -3.94 eV/atom. Number 12: total magnetization 0.0000 μB/atom, ΔE_f (raw) 147 meV/atom, raw total energy -4.16 eV/atom.